Record 1
DFT (GGA-PBE) results for a geometry-optimized LaNdSm2Ho5 structure.

Cell: 8.7506 8.7506 15.5509 Å, 90.00 90.00 90.00°
Last column: nearest neighbours and their distance in Å.
Space group I4/mcm (No. 140)
One atom of each set of equivalent atoms:
1 La 0.0000 0.0000 0.2500 [4 per cell]  10 Ho 3.62-3.89
2 Nd 0.0000 0.5000 0.2500 [4 per cell]  4 Ho 3.13
3 Sm 0.1172 0.3828 0.0000 [8 per cell]  1 Sm 2.90, 2 Ho 3.02
4 Ho 0.0000 0.0000 0.0000 [4 per cell]  4 Sm 3.50, 8 Ho 3.77, 2 La 3.89
5 Ho 0.2068 0.2932 0.3654 [16 per cell]  1 Sm 3.02, 1 Nd 3.13

Formation energy from the elements in eV per atom: 0.2517

=====

Record 2
DFT (GGA-PBE) results for a geometry-optimized Os4Rh structure.

Cell: 3.7792 3.7792 11.5422 Å, 90.00 90.00 90.00°
Last column: nearest neighbours and their distance in Å.
Space group I4/mmm (No. 139)
One atom of each set of equivalent atoms:
1 Os 0.0000 0.0000 0.1030 [4 per cell]  5 Os 2.38-2.54
2 Os 0.0000 0.5000 0.2500 [4 per cell]  8 Os 2.54-2.67
3 Rh 0.0000 0.0000 0.5000 [2 per cell]  8 Os 2.92

Distance to the lowest polymorph of the same formula in meV/atom: 633
Formation energy from the elements in eV per atom: 0.7427

=====

Record 3
DFT (GGA-PBE) results for a geometry-optimized K2CdPd2 structure.

Cell: 3.7434 3.7434 21.8078 Å, 90.00 90.00 90.00°
Last column: nearest neighbours and their distance in Å.
Space group I4/mmm (No. 139)
One atom of each set of equivalent atoms:
1 K 0.0000 0.0000 0.1271 [4 per cell]  4 Pd 3.27
2 Cd 0.0000 0.0000 0.5000 [2 per cell]  4 Cd 3.74, 8 K 3.83
3 Pd 0.0000 0.5000 0.2500 [4 per cell]  4 Pd 2.65

Distance to the lowest polymorph of the same formula in meV/atom: 173
Formation energy from the elements in eV per atom: 0.1043

=====

Record 4
DFT (GGA-PBE) results for a geometry-optimized Fe2CoAu structure.

Cell: 5.9803 5.9803 5.9803 Å, 90.00 90.00 90.00°
Last column: nearest neighbours and their distance in Å.
Space group F-43m (No. 216)
One atom of each set of equivalent atoms:
1 Fe 0.0000 0.0000 0.0000 [4 per cell]  4 Fe 2.59, 4 Co 2.59
2 Fe 0.2500 0.2500 0.2500 [4 per cell]  4 Fe 2.59, 4 Au 2.59
3 Co 0.2500 0.2500 0.7500 [4 per cell]  4 Fe 2.59, 4 Au 2.59
4 Au 0.0000 0.0000 0.5000 [4 per cell]  4 Fe 2.59, 4 Co 2.59

Distance to the lowest polymorph of the same formula in meV/atom: 112
Formation energy from the elements in eV per atom: 0.1975

=====

Record 5
DFT (GGA-PBE) results for a geometry-optimized MoBr structure.

Cell: 3.1358 3.1358 8.7962 Å, 90.00 90.00 120.00°
Last column: nearest neighbours and their distance in Å.
Space group P6_3mc (No. 186)
One atom of each set of equivalent atoms:
1 Mo 0.3333 0.6667 0.0000 [2 per cell]  4 Br 2.55-2.59
2 Br 0.3333 0.6667 0.7104 [2 per cell]  4 Mo 2.55-2.59

Formation energy from raw total energies in eV/atom: 0.72
Distance to the lowest polymorph of the same formula in meV/atom: 790

=====

Record 6
DFT (GGA-PBE) results for a geometry-optimized Ca2GaIr3 structure.

Cell: 5.5115 5.5115 12.4829 Å, 90.00 90.00 120.00°
Last column: nearest neighbours and their distance in Å.
Space group R-3m (No. 166, hexagonal axes)
One atom of each set of equivalent atoms:
1 Ca 0.0000 0.0000 0.1243 [6 per cell]  9 Ir 3.06-3.16, 4 Ca 3.10-3.35, 3 Ga 3.23
2 Ga 0.0000 0.0000 0.5000 [3 per cell]  6 Ir 2.62
3 Ir 0.0000 0.5000 0.0000 [9 per cell]  2 Ga 2.62, 4 Ir 2.76

Formation energy from the elements in eV per atom: -0.5229

=====

Record 7
DFT (GGA-PBE) results for a geometry-optimized PtRh2Cl structure.

Cell: 2.8881 3.3177 6.8404 Å, 90.00 90.00 90.00°
Last column: nearest neighbours and their distance in Å.
Space group Pmmm (No. 47)
One atom of each set of equivalent atoms:
1 Pt 0.0000 0.0000 0.0000 [1 per cell]  8 Rh 2.67, 2 Pt 2.89
2 Rh 0.5000 0.5000 0.2220 [2 per cell]  2 Cl 2.52, 4 Pt 2.67
3 Cl 0.5000 0.0000 0.5000 [1 per cell]  4 Rh 2.52

Formation energy from raw total energies in eV/atom: 0.21
Distance to the lowest polymorph of the same formula in meV/atom: 0

=====

Record 8
DFT (GGA-PBE) results for a geometry-optimized Li2GeBiH structure.

Cell: 4.3683 4.3683 4.5664 Å, 90.00 90.00 90.00°
Last column: nearest neighbours and their distance in Å.
Space group P4/mmm (No. 123)
One atom of each set of equivalent atoms:
1 Li 0.0000 0.5000 0.0000 [2 per cell]  2 H 2.18
2 Ge 0.0000 0.0000 0.5000 [1 per cell]  4 Bi 3.09, 8 Li 3.16
3 Bi 0.5000 0.5000 0.5000 [1 per cell]  2 H 2.28
4 H 0.5000 0.5000 0.0000 [1 per cell]  4 Li 2.18, 2 Bi 2.28

Distance to the lowest polymorph of the same formula in meV/atom: 80

=====

Record 9
DFT (GGA-PBE) results for a geometry-optimized Pr4Dy3Cd4 structure.

Cell: 5.0079 8.4106 16.5532 Å, 90.00 90.00 90.00°
Last column: nearest neighbours and their distance in Å.
Space group Immm (No. 71)
One atom of each set of equivalent atoms:
1 Pr 0.0000 0.2028 0.1684 [8 per cell]  4 Cd 2.99-3.14
2 Dy 0.0000 0.0000 0.3866 [4 per cell]  6 Cd 3.43-3.76, 4 Pr 3.65, 1 Dy 3.75
3 Dy 0.0000 0.5000 0.5000 [2 per cell]  6 Cd 3.60-3.76
4 Cd 0.0000 0.3328 0.0000 [4 per cell]  1 Cd 2.81, 2 Pr 2.99
5 Cd 0.0000 0.5000 0.2826 [4 per cell]  6 Pr 3.13-3.14

Formation energy from the elements in eV per atom: -0.0024

=====

Record 10
DFT (GGA-PBE) results for a geometry-optimized CdIr3 structure.

Cell: 4.5972 5.6652 4.8392 Å, 90.00 90.00 90.00°
Last column: nearest neighbours and their distance in Å.
Space group Pmmn (No. 59, origin choice 2)
One atom of each set of equivalent atoms:
1 Cd 0.2500 0.2500 0.1534 [2 per cell]  12 Ir 2.80-2.85
2 Ir 0.2500 0.5045 0.6531 [4 per cell]  8 Ir 2.69-2.89, 4 Cd 2.82-2.85
3 Ir 0.2500 0.7500 0.1762 [2 per cell]  8 Ir 2.69-2.89, 4 Cd 2.80-2.83

Formation energy from the elements in eV per atom: 0.3089

=====

Record 11
DFT (GGA-PBE) results for a geometry-optimized ZrPaCo2H6 structure.

Cell: 4.4134 4.4134 15.7163 Å, 90.00 90.00 120.00°
Last column: nearest neighbours and their distance in Å.
Space group R-3m (No. 166, hexagonal axes)
One atom of each set of equivalent atoms:
1 Zr 0.0000 0.0000 0.0000 [3 per cell]  6 H 2.09
2 Pa 0.0000 0.0000 0.5000 [3 per cell]  12 H 2.40
3 Co 0.0000 0.0000 0.2892 [6 per cell]  3 H 1.63
4 H 0.0068 0.5034 0.5598 [18 per cell]  1 Co 1.63

E in eV per atom: -5.5624

=====

Record 12
DFT (GGA-PBE) results for a geometry-optimized NbIr2Cl structure.

Cell: 6.0591 6.0591 9.4591 Å, 90.00 90.00 90.00°
Last column: nearest neighbours and their distance in Å.
Space group I-42d (No. 122)
One atom of each set of equivalent atoms:
1 Nb 0.0000 0.0000 0.0000 [4 per cell]  4 Ir 2.49
2 Ir 0.2396 0.2500 0.6250 [8 per cell]  2 Cl 2.41, 2 Nb 2.49
3 Cl 0.0000 0.0000 0.5000 [4 per cell]  4 Ir 2.41

Formation energy from raw total energies in eV/atom: 0.67
Distance to the lowest polymorph of the same formula in meV/atom: 63

=====

Record 13
DFT (GGA-PBE) results for a geometry-optimized CrRuRh2 structure.

Cell: 3.8110 3.8110 7.4955 Å, 90.00 90.00 90.00°
Last column: nearest neighbours and their distance in Å.
Space group I-4m2 (No. 119)
One atom of each set of equivalent atoms:
1 Cr 0.0000 0.0000 0.0000 [2 per cell]  4 Ru 2.67, 8 Rh 2.67-2.69
2 Ru 0.0000 0.5000 0.7500 [2 per cell]  4 Cr 2.67, 8 Rh 2.67-2.69
3 Rh 0.0000 0.0000 0.5000 [2 per cell]  4 Ru 2.67, 4 Rh 2.67, 4 Cr 2.69
4 Rh 0.0000 0.5000 0.2500 [2 per cell]  4 Cr 2.67, 4 Rh 2.67, 4 Ru 2.69

Formation energy from the elements in eV per atom: -0.0071

=====

Record 14
DFT (GGA-PBE) results for a geometry-optimized Mg2Zn4Se structure.

Cell: 8.3448 8.3448 5.3282 Å, 90.00 90.00 90.00°
Last column: nearest neighbours and their distance in Å.
Space group I4/mmm (No. 139)
One atom of each set of equivalent atoms:
1 Mg 0.0000 0.5000 0.2500 [4 per cell]  2 Mg 2.66, 4 Zn 2.74
2 Zn 0.0000 0.2128 0.0000 [8 per cell]  2 Zn 2.51, 2 Mg 2.74
3 Se 0.0000 0.0000 0.5000 [2 per cell]  8 Zn 3.20

Formation energy from raw total energies in eV/atom: 0.36
Distance to the lowest polymorph of the same formula in meV/atom: 583

=====

Record 15
DFT (GGA-PBE) results for a geometry-optimized V2HPdS structure.

Cell: 4.3043 4.3043 4.4214 Å, 90.00 90.00 90.00°
Last column: nearest neighbours and their distance in Å.
Space group P4/mmm (No. 123)
One atom of each set of equivalent atoms:
1 V 0.0000 0.5000 0.0000 [2 per cell]  2 S 2.15
2 H 0.0000 0.0000 0.5000 [1 per cell]  4 Pd 3.04, 8 V 3.09
3 Pd 0.5000 0.5000 0.5000 [1 per cell]  2 S 2.21
4 S 0.5000 0.5000 0.0000 [1 per cell]  4 V 2.15, 2 Pd 2.21

E in eV per atom: -5.4226

=====

Record 16
DFT (GGA-PBE) results for a geometry-optimized YTc3Cl structure.

Cell: 4.4528 4.4528 4.4528 Å, 90.00 90.00 90.00°
Last column: nearest neighbours and their distance in Å.
Space group Pm-3m (No. 221)
One atom of each set of equivalent atoms:
1 Y 0.0000 0.0000 0.0000 [1 per cell]  12 Tc 3.15
2 Tc 0.0000 0.5000 0.5000 [3 per cell]  2 Cl 2.23
3 Cl 0.5000 0.5000 0.5000 [1 per cell]  6 Tc 2.23

Formation energy from raw total energies in eV/atom: 0.63
Distance to the lowest polymorph of the same formula in meV/atom: 0

=====

Record 17
DFT (GGA-PBE) results for a geometry-optimized Pm2BeBPt6 structure.

Cell: 9.8552 5.6902 7.0506 Å, 90.00 117.84 90.00°
Last column: nearest neighbours and their distance in Å.
Space group C2/m (No. 12)
One atom of each set of equivalent atoms:
1 Pm 0.2112 0.0000 0.1339 [4 per cell]  9 Pt 3.02-3.19
2 Be 0.0000 0.5000 0.0000 [2 per cell]  6 Pt 2.43
3 B 0.0000 0.0000 0.5000 [2 per cell]  6 Pt 2.13
4 Pt 0.0193 0.2606 0.2976 [8 per cell]  1 B 2.13
5 Pt 0.2414 0.0000 0.7024 [4 per cell]  1 B 2.13

Formation energy from the elements in eV per atom: -0.9019

=====

Record 18
DFT (GGA-PBE) results for a geometry-optimized KAsI2O8 structure.

Cell: 12.2406 5.4782 6.1524 Å, 90.00 111.31 90.00°
Last column: nearest neighbours and their distance in Å.
Space group C2/m (No. 12)
One atom of each set of equivalent atoms:
1 K 0.0000 0.0000 0.0000 [2 per cell]  2 O 2.58
2 As 0.0000 0.5000 0.5000 [2 per cell]  2 O 1.69
3 I 0.2144 0.0000 0.6830 [4 per cell]  3 O 1.80-1.87
4 O 0.0659 0.5000 0.3010 [4 per cell]  1 As 1.69
5 O 0.1160 0.2456 0.7200 [8 per cell]  1 I 1.87, 1 As 2.10
6 O 0.1852 0.0000 0.3744 [4 per cell]  1 I 1.80

Formation energy from raw total energies in eV/atom: -0.65

=====

Record 19
DFT (GGA-PBE) results for a geometry-optimized MgReSbI2 structure.

Cell: 5.6271 5.6271 5.1416 Å, 90.00 90.00 90.00°
Last column: nearest neighbours and their distance in Å.
Space group P4/mmm (No. 123)
One atom of each set of equivalent atoms:
1 Mg 0.0000 0.0000 0.0000 [1 per cell]  8 I 3.81, 4 Sb 3.98
2 Re 0.5000 0.5000 0.5000 [1 per cell]  2 Sb 2.57, 4 I 2.81
3 Sb 0.5000 0.5000 0.0000 [1 per cell]  2 Re 2.57
4 I 0.0000 0.5000 0.5000 [2 per cell]  2 Re 2.81

Formation energy from raw total energies in eV/atom: 0.66
Distance to the lowest polymorph of the same formula in meV/atom: 0

=====

Record 20
DFT (GGA-PBE) results for a geometry-optimized YRe2As structure.

Cell: 3.3102 4.9994 8.6026 Å, 90.00 90.00 90.00°
Last column: nearest neighbours and their distance in Å.
Space group Cmmm (No. 65)
One atom of each set of equivalent atoms:
1 Y 0.0000 0.0000 0.0000 [2 per cell]  4 Re 2.92, 4 Y 3.00
2 Re 0.0000 0.5000 0.2802 [4 per cell]  2 As 2.51
3 As 0.0000 0.0000 0.5000 [2 per cell]  4 Re 2.51

Formation energy from the elements in eV per atom: 0.5562